(1)
Compound: LaYOs2
Source: Alexandria
Functional: PBE
Structure: relaxed

For the energy above the lowest structure with this stoichiometry, the calculation gives 0.495 eV/atom. The formation enthalpy at 0 K is 0.399 eV per atom.

abc: 5.7584 5.7584 5.7584
angles: 137.97 137.97 60.95
Closest atoms and distances in Å follow each position.
Fractional positions:
La1 0.0000 0.0000 0.0000  8 Os 2.92-3.23, 4 Y 3.23
Y1 0.7500 0.2500 0.5000  8 Os 2.92-3.23, 4 La 3.23
Os1 0.2500 0.7500 0.5000  4 Y 2.92, 4 La 3.23, 4 Os 3.23
Os2 0.5000 0.5000 0.0000  4 La 2.92, 4 Os 3.23, 4 Y 3.23

***

(2)
Compound: SnH2
Source: Alexandria
Functional: PBE
Structure: relaxed

The calculation puts the energy at -8.99 eV for the cell shown.

abc: 3.8693 3.8693 3.8693
angles: 129.91 129.91 73.56
Closest atoms and distances in Å follow each position.
Fractional positions:
Sn1 0.0000 0.0000 0.0000  2 H 1.92
H1 0.3101 0.3101 0.0000  1 Sn 1.92
H2 0.6899 0.6899 0.0000  1 Sn 1.92

***

(3)
Compound: NdCu2Ni6
Source: Alexandria
Functional: PBE
Structure: relaxed

The formation enthalpy at 0 K is 0.137 eV per atom.

abc: 6.4485 6.4485 6.4485
angles: 143.41 123.68 69.05
Closest atoms and distances in Å follow each position.
Fractional positions:
Nd1 0.0000 0.0000 0.0000  4 Ni 2.79
Cu1 0.3802 0.8802 0.5000  1 Cu 2.55, 10 Ni 2.55-2.64
Cu2 0.6198 0.1198 0.5000  1 Cu 2.55, 10 Ni 2.55-2.64
Ni1 0.0918 0.2838 0.8080  4 Ni 2.26-2.34
Ni2 0.3147 0.5000 0.8147  3 Ni 2.26-2.30
Ni3 0.4757 0.2838 0.1920  4 Ni 2.26-2.34
Ni4 0.5243 0.7162 0.8080  4 Ni 2.26-2.34
Ni5 0.6853 0.5000 0.1853  3 Ni 2.26-2.30
Ni6 0.9082 0.7162 0.1920  4 Ni 2.26-2.34

***

Please write out number 2 again, unchanged.
Compound: SnH2
Source: Alexandria
Functional: PBE
Structure: relaxed

The calculation puts the energy at -8.99 eV for the cell shown.

abc: 3.8693 3.8693 3.8693
angles: 129.91 129.91 73.56
Closest atoms and distances in Å follow each position.
Fractional positions:
Sn1 0.0000 0.0000 0.0000  2 H 1.92
H1 0.3101 0.3101 0.0000  1 Sn 1.92
H2 0.6899 0.6899 0.0000  1 Sn 1.92